## AlCo5 (meta-GGA SCAN)

Data for AlCo5 at its PBEsol-relaxed geometry.

Structure (POSCAR):
```
AlCo5
1.0
1.753 -5.253 0.000
1.753 5.253 0.000
0.000 0.000 3.488
Al Co
1 5
Cartesian
0.000 0.000 0.000 Al
1.753 3.451 1.744 Co
1.753 1.817 0.000 Co
1.753 0.000 1.744 Co
1.753 -1.817 0.000 Co
1.753 -3.451 1.744 Co
```

Calculated values
The calculation puts the total energy at -15.861 eV per atom.

=====

## Al3Co2 (meta-GGA SCAN)

Data for Al3Co2 at its PBEsol-relaxed geometry.

Structure (POSCAR):
```
Al3Co2
1.0
0.000 6.244 2.318
4.237 0.000 2.318
4.237 6.244 0.000
Al Co
6 4
Cartesian
0.000 0.000 0.000 Al
2.118 3.122 1.159 Al
4.085 4.845 2.324 Al
4.388 7.644 2.324 Al
6.506 7.968 3.484 Al
6.204 10.766 3.484 Al
2.205 0.736 1.110 Co
4.323 2.386 2.269 Co
2.032 5.509 1.110 Co
4.150 10.103 2.269 Co
```

Calculated values
The calculation puts the total energy at -11.944 eV per atom.

=====

## Al2Co (meta-GGA SCAN)

Data for Al2Co at its PBEsol-relaxed geometry.

Structure (POSCAR):
```
Al2Co
1.0
0.000 5.386 5.386
5.386 0.000 5.386
5.386 5.386 0.000
Al Co
16 8
Cartesian
0.000 0.000 0.000 Al
2.693 2.693 0.000 Al
2.693 0.000 2.693 Al
4.040 4.040 1.901 Al
4.040 1.901 4.040 Al
6.178 4.040 4.040 Al
6.733 6.733 4.594 Al
6.733 4.594 6.733 Al
8.871 6.733 6.733 Al
0.000 2.693 2.693 Al
1.901 4.040 4.040 Al
4.040 6.178 4.040 Al
4.040 4.040 6.178 Al
4.594 6.733 6.733 Al
6.733 8.871 6.733 Al
6.733 6.733 8.871 Al
8.418 5.048 5.048 Co
2.355 2.355 2.355 Co
5.725 5.725 2.355 Co
5.725 2.355 5.725 Co
5.048 8.418 5.048 Co
5.048 5.048 8.418 Co
8.418 8.418 8.418 Co
2.355 5.725 5.725 Co
```

Calculated values
The calculation puts the total energy at -11.392 eV per atom.

=====

## AlCo (meta-GGA SCAN)

Data for AlCo at its PBEsol-relaxed geometry.

Structure (POSCAR):
```
AlCo
1.0
1.342 0.775 3.832
-1.342 0.775 3.832
0.000 -1.549 3.832
Al Co
1 1
Cartesian
0.000 0.000 0.000 Al
0.000 0.000 5.748 Co
```

Calculated values
The calculation puts the total energy at -12.742 eV per atom.

=====

## AlCo (meta-GGA SCAN)

Data for AlCo at its PBEsol-relaxed geometry.

Structure (POSCAR):
```
AlCo
1.0
2.682 0.000 0.000
-1.341 2.322 0.000
0.000 0.000 7.654
Al Co
2 2
Cartesian
0.000 0.000 0.000 Al
0.000 0.000 3.827 Al
0.000 1.548 1.914 Co
1.341 0.774 5.741 Co
```

Calculated values
The calculation puts the total energy at -12.754 eV per atom.

=====

## AlCo4 (meta-GGA SCAN)

Data for AlCo4 at its PBEsol-relaxed geometry.

Structure (POSCAR):
```
AlCo4
1.0
-2.767 2.767 1.762
2.767 -2.767 1.762
2.767 2.767 -1.762
Al Co
1 4
Cartesian
0.000 0.000 0.000 Al
2.242 1.083 0.000 Co
1.683 -0.524 1.762 Co
1.083 3.291 0.000 Co
0.524 1.683 1.762 Co
```

Calculated values
The calculation puts the total energy at -15.577 eV per atom.

=====

## Al13Co4 (meta-GGA SCAN)

Data for Al13Co4 at its PBEsol-relaxed geometry.

Structure (POSCAR):
```
Al13Co4
1.0
12.306 0.000 0.000
0.000 14.311 0.000
0.000 0.000 8.125
Al Co
78 24
Cartesian
0.000 0.000 0.000 Al
0.000 7.155 2.036 Al
0.000 7.155 6.089 Al
0.355 1.924 1.801 Al
0.355 1.924 6.324 Al
0.555 9.780 1.804 Al
0.555 9.780 6.321 Al
0.669 13.202 4.063 Al
0.871 3.429 4.063 Al
1.398 3.669 0.000 Al
1.843 8.081 0.000 Al
1.878 11.840 0.000 Al
1.935 10.162 4.063 Al
1.949 5.272 2.354 Al
1.949 5.272 5.771 Al
1.966 7.516 4.063 Al
2.104 14.200 1.882 Al
2.104 14.200 6.243 Al
2.881 2.564 2.278 Al
2.881 2.564 5.847 Al
3.011 5.774 0.000 Al
3.142 12.930 4.063 Al
3.272 9.719 1.784 Al
3.272 9.719 6.341 Al
4.048 7.044 2.181 Al
4.048 7.044 5.944 Al
4.187 0.360 0.000 Al
4.204 12.427 1.709 Al
4.204 12.427 6.416 Al
4.218 3.007 0.000 Al
4.275 4.684 4.063 Al
4.310 0.926 4.063 Al
4.755 10.824 4.063 Al
5.282 10.584 0.000 Al
5.484 6.047 0.000 Al
5.598 2.624 2.259 Al
5.598 2.624 5.867 Al
5.798 9.080 2.262 Al
5.798 9.080 5.863 Al
6.153 0.000 2.027 Al
6.153 0.000 6.098 Al
6.153 7.155 4.063 Al
6.508 5.231 2.262 Al
6.508 5.231 5.863 Al
6.707 11.687 2.259 Al
6.707 11.687 5.867 Al
6.821 8.264 0.000 Al
7.024 3.727 0.000 Al
7.551 3.487 4.063 Al
7.996 13.385 4.063 Al
8.031 9.626 4.063 Al
8.087 11.304 0.000 Al
8.101 1.884 1.709 Al
8.101 1.884 6.416 Al
8.119 13.950 0.000 Al
8.257 7.267 2.181 Al
8.257 7.267 5.944 Al
9.034 4.592 1.784 Al
9.034 4.592 6.341 Al
9.164 1.381 4.063 Al
9.295 8.537 0.000 Al
9.425 11.747 2.278 Al
9.425 11.747 5.847 Al
10.201 0.111 1.882 Al
10.201 0.111 6.243 Al
10.339 6.795 4.063 Al
10.357 9.039 2.354 Al
10.357 9.039 5.771 Al
10.371 4.149 4.063 Al
10.428 2.471 0.000 Al
10.463 6.230 0.000 Al
10.908 10.642 0.000 Al
11.435 10.882 4.063 Al
11.637 1.109 4.063 Al
11.751 4.531 1.804 Al
11.751 4.531 6.321 Al
11.950 12.386 1.801 Al
11.950 12.386 6.324 Al
0.232 5.703 4.063 Co
0.605 5.863 0.000 Co
1.786 1.196 4.063 Co
1.927 11.779 2.257 Co
1.927 11.779 5.868 Co
2.001 1.441 0.000 Co
4.152 8.597 4.063 Co
4.226 4.624 1.805 Co
4.226 4.624 6.320 Co
4.367 8.351 0.000 Co
5.548 13.018 4.063 Co
5.921 12.859 0.000 Co
6.385 1.452 0.000 Co
6.758 1.293 4.063 Co
7.939 5.959 0.000 Co
8.080 9.687 1.805 Co
8.080 9.687 6.320 Co
8.154 5.714 4.063 Co
10.304 12.869 0.000 Co
10.378 2.532 2.257 Co
10.378 2.532 5.868 Co
10.520 13.115 4.063 Co
11.701 8.448 0.000 Co
12.074 8.608 4.063 Co
```

Calculated values
The calculation puts the total energy at -10.379 eV per atom.

=====

## Al13Co4 (meta-GGA SCAN)

Data for Al13Co4 at its PBEsol-relaxed geometry.

Structure (POSCAR):
```
Al13Co4
1.0
7.513 -4.060 0.000
7.513 4.060 0.000
-3.761 0.000 11.723
Al Co
39 12
Cartesian
0.000 0.000 0.000 Al
-2.134 0.000 7.856 Al
1.771 2.285 11.464 Al
3.272 2.332 7.156 Al
3.285 1.794 4.534 Al
4.211 1.792 1.978 Al
1.790 0.000 2.547 Al
0.397 0.000 8.605 Al
4.285 2.182 9.708 Al
6.980 2.182 2.015 Al
5.632 2.028 5.862 Al
1.876 0.000 6.114 Al
0.247 0.000 11.493 Al
7.993 2.332 4.568 Al
9.493 2.285 0.259 Al
3.397 0.000 8.324 Al
2.895 0.000 10.761 Al
5.314 0.000 3.828 Al
7.054 1.792 9.746 Al
7.980 1.794 7.189 Al
3.285 -1.794 4.534 Al
4.211 -1.792 1.978 Al
5.951 0.000 7.895 Al
8.370 0.000 0.962 Al
7.868 0.000 3.400 Al
1.771 -2.285 11.464 Al
3.272 -2.332 7.156 Al
11.017 0.000 0.230 Al
9.389 0.000 5.609 Al
5.632 -2.028 5.862 Al
4.285 -2.182 9.708 Al
6.980 -2.182 2.015 Al
10.868 0.000 3.118 Al
9.474 0.000 9.176 Al
7.054 -1.792 9.746 Al
7.980 -1.794 7.189 Al
7.993 -2.332 4.568 Al
9.493 -2.285 0.259 Al
13.399 0.000 3.868 Al
-0.447 0.000 6.073 Co
1.925 1.804 9.132 Co
-1.754 0.000 10.265 Co
4.209 0.000 6.050 Co
5.836 0.000 1.348 Co
9.339 1.804 2.591 Co
1.925 -1.804 9.132 Co
5.429 0.000 10.375 Co
7.055 0.000 5.674 Co
13.019 0.000 1.458 Co
9.339 -1.804 2.591 Co
11.712 0.000 5.650 Co
```

Calculated values
The calculation puts the total energy at -10.379 eV per atom.

=====

## AlCo (meta-GGA SCAN)

Data for AlCo at its PBEsol-relaxed geometry.

Structure (POSCAR):
```
AlCo
1.0
2.984 0.000 0.000
0.000 2.984 0.000
0.000 0.000 5.431
Al Co
2 2
Cartesian
0.746 0.746 0.855 Al
2.238 2.238 4.577 Al
0.746 0.746 3.451 Co
2.238 2.238 1.980 Co
```

Calculated values
The calculation puts the total energy at -12.843 eV per atom.

=====

## Al5Co24 (meta-GGA SCAN)

Data for Al5Co24 at its PBEsol-relaxed geometry.

Structure (POSCAR):
```
Al5Co24
1.0
-4.292 4.292 4.292
4.292 -4.292 4.292
4.292 4.292 -4.292
Al Co
5 24
Cartesian
0.000 0.000 0.000 Al
1.595 1.595 -1.595 Al
1.595 -1.595 1.595 Al
-1.595 1.595 1.595 Al
2.697 2.697 2.697 Al
3.986 1.224 -1.224 Co
3.986 -1.224 1.224 Co
6.157 0.781 -0.781 Co
6.157 -0.781 0.781 Co
2.428 0.781 0.781 Co
3.512 3.512 -1.865 Co
3.512 -1.865 3.512 Co
4.599 1.224 1.224 Co
1.224 3.986 -1.224 Co
1.224 -1.224 3.986 Co
0.781 2.428 0.781 Co
0.781 0.781 2.428 Co
3.069 3.069 0.306 Co
3.069 0.306 3.069 Co
-1.224 3.986 1.224 Co
-1.224 1.224 3.986 Co
0.781 6.157 -0.781 Co
0.781 -0.781 6.157 Co
1.224 4.599 1.224 Co
1.224 1.224 4.599 Co
0.306 3.069 3.069 Co
-0.781 6.157 0.781 Co
-0.781 0.781 6.157 Co
-1.865 3.512 3.512 Co
```

Calculated values
The calculation puts the total energy at -15.767 eV per atom.

=====

## Al5Co (meta-GGA SCAN)

Data for Al5Co at its PBEsol-relaxed geometry.

Structure (POSCAR):
```
Al5Co
1.0
1.910 -5.859 0.000
1.910 5.859 0.000
0.000 0.000 3.851
Al Co
5 1
Cartesian
0.000 0.000 0.000 Al
1.910 4.039 1.925 Al
1.910 1.861 0.000 Al
1.910 -1.861 0.000 Al
1.910 -4.039 1.925 Al
1.910 0.000 1.925 Co
```

Calculated values
The calculation puts the total energy at -9.437 eV per atom.

=====

## AlCo4 (meta-GGA SCAN)

Data for AlCo4 at its PBEsol-relaxed geometry.

Structure (POSCAR):
```
AlCo4
1.0
2.514 0.000 0.000
-1.257 2.177 0.000
0.000 0.000 10.361
Al Co
1 4
Cartesian
0.000 0.000 0.000 Al
0.000 1.451 1.990 Co
0.000 1.451 4.222 Co
1.257 0.726 6.139 Co
1.257 0.726 8.372 Co
```

Calculated values
The calculation puts the total energy at -15.178 eV per atom.

=====

What is the formula in the eighth record?
Al13Co4